(1)
# Y6GeAs3S2

A geometry-optimized Y6GeAs3S2 structure (PBE, Alexandria via LeMat-Bulk).

```
Y6GeAs3S2
1.0
4.073 0.000 0.000
0.000 8.145 0.303
-2.036 -2.334 8.547
Y Ge As S
6 1 3 2
Direct
0.334 0.918 0.669 Y
0.666 0.584 0.333 Y
0.666 0.082 0.331 Y
0.001 0.249 0.001 Y
0.999 0.751 0.999 Y
0.334 0.416 0.667 Y
0.500 0.000 0.000 Ge
0.500 0.500 0.000 As
0.832 0.169 0.664 As
0.168 0.831 0.336 As
0.831 0.662 0.662 S
0.169 0.338 0.338 S
```

formation energy without anion corrections: -1.626 eV per atom
total DFT energy (no corrections): -85.1 eV per cell
space-group type: No. 12



(2)
# TcNi2Au

A geometry-optimized TcNi2Au structure (PBE, Alexandria via LeMat-Bulk).

```
TcNi2Au
1.0
-0.067 -2.637 0.567
4.667 -0.245 -0.590
0.594 0.913 4.318
Au Ni Tc
1 2 1
Direct
0.000 0.500 0.500 Au
0.000 0.000 0.000 Ni
0.500 0.500 0.000 Ni
0.500 0.000 0.500 Tc
```

total DFT energy (no corrections): -23.6 eV per cell
distance to the lowest polymorph of the same formula: 354.6 meV per atom
space-group type: No. 47



(3)
# MgBi2PbO6

A geometry-optimized MgBi2PbO6 structure (PBE, Alexandria via LeMat-Bulk).

```
MgBi2PbO6
1.0
5.853 0.000 0.000
2.927 5.068 0.000
2.926 1.690 4.918
Mg Bi Pb O
1 2 1 6
Direct
0.810 0.810 0.570 Mg
0.525 0.525 0.424 Bi
0.028 0.028 0.916 Bi
0.310 0.310 0.071 Pb
0.617 0.156 0.260 O
0.156 0.968 0.260 O
0.968 0.617 0.260 O
0.473 0.667 0.751 O
0.667 0.109 0.751 O
0.109 0.473 0.751 O
```

formation energy without anion corrections: -1.398 eV per atom
total DFT energy (no corrections): -56.8 eV per cell
space-group type: No. 146



(4)
# Si2IrW

A geometry-optimized Si2IrW structure (PBE, Alexandria via LeMat-Bulk).

```
Si2IrW
1.0
5.497 0.239 -0.418
3.227 4.457 0.417
-4.164 -2.716 2.395
Ir Si W
1 2 1
Direct
0.216 0.717 0.499 Ir
0.042 0.042 0.000 Si
0.775 0.276 0.500 Si
0.466 0.466 0.000 W
```

formation energy without anion corrections: -0.247 eV per atom
total DFT energy (no corrections): -33.6 eV per cell
distance to the lowest polymorph of the same formula: 56.2 meV per atom
space-group type: No. 44